# 1
# ReIr6Os2

Crystalline ReIr6Os2 at its relaxed geometry (PBE-GGA, Alexandria via LeMat-Bulk).

distance to the lowest polymorph of the same formula: 195 meV per atom
mass density: 19.2 Mg/m³
DOS at the Fermi energy: 27.6 states/eV per cell

```
data_ReIr6Os2
_space_group_name_H-M_alt 'R 3 m'
_space_group_IT_number 160
_space_group_name_Hall 'R 3 -2"'
_cell_length_a 5.2667
_cell_length_b 5.2667
_cell_length_c 18.6135
_cell_angle_alpha 90.00
_cell_angle_beta 90.00
_cell_angle_gamma 120.00
loop_
_atom_site_label
_atom_site_type_symbol
_atom_site_fract_x
_atom_site_fract_y
_atom_site_fract_z
Re1 Re 0.0000 0.0000 0.0000
Ir1 Ir 0.1716 0.3432 0.8960
Ir2 Ir 0.1730 0.3459 0.1090
Os1 Os 0.0000 0.0000 0.6106
Os2 Os 0.0000 0.0000 0.7361
```

***

# 2
# CrSi4Ir

Crystalline CrSi4Ir at its relaxed geometry (PBE-GGA, Alexandria via LeMat-Bulk).

mass density: 7.3 Mg/m³
uncorrected formation energy: 0.461 eV/atom
DOS at the Fermi energy: 14.7 states/eV per cell

```
data_CrSi4Ir
_space_group_name_H-M_alt 'F -4 3 m'
_space_group_IT_number 216
_space_group_name_Hall 'F -4 2 3'
_cell_length_a 6.881
_cell_length_b 6.881
_cell_length_c 6.881
_cell_angle_alpha 90.00
_cell_angle_beta 90.00
_cell_angle_gamma 90.00
loop_
_atom_site_label
_atom_site_type_symbol
_atom_site_fract_x
_atom_site_fract_y
_atom_site_fract_z
Cr1 Cr 0.000 0.000 0.000
Si1 Si 0.125 0.125 0.625
Ir1 Ir 0.250 0.250 0.250
```

***

# 3
# Sr2ReRh

Crystalline Sr2ReRh at its relaxed geometry (PBE-GGA, Alexandria via LeMat-Bulk).

distance to the lowest polymorph of the same formula: 566 meV per atom
mass density: 5.2 Mg/m³
DOS at the Fermi energy: 17.3 states/eV per cell

```
data_Sr2ReRh
_space_group_name_H-M_alt 'I -4 2 d'
_space_group_IT_number 122
_space_group_name_Hall 'I -4 2bw'
_cell_length_a 11.156
_cell_length_b 11.156
_cell_length_c 4.751
_cell_angle_alpha 90.00
_cell_angle_beta 90.00
_cell_angle_gamma 90.00
loop_
_atom_site_label
_atom_site_type_symbol
_atom_site_fract_x
_atom_site_fract_y
_atom_site_fract_z
Sr1 Sr 0.079 0.250 0.125
Re1 Re 0.000 0.000 0.500
Rh1 Rh 0.000 0.000 0.000
```